1.
First-principles (PBE) data for YPuBiS2 after structural relaxation, as listed in Alexandria via LeMat-Bulk.

The space group is I4mm (No. 107) and the conventional cell measures 4.481, 4.481 and 13.669 Å, with angles of 90.00, 90.00 and 90.00 degrees. The asymmetric unit holds Y at (0.000, 0.000, 0.000), Pu at (0.000, 0.000, 0.715), Bi at (0.000, 0.000, 0.353) and S at (0.000, 0.500, 0.106).

Its density is 7.33 g cm⁻³. The calculation puts the total magnetization at 4.54 μB per formula unit. The raw total energy is -7.71 eV/atom. As for the crystal system: tetragonal. The calculation puts the uncorrected formation energy at -1.13 eV per atom.

=====

2.
First-principles (PBE) data for Pu6BiSb2 after structural relaxation, as listed in Alexandria via LeMat-Bulk.

The space group is P6/mmm (No. 191) and the conventional cell measures 8.9096, 8.9096 and 3.4497 Å, with angles of 90.00, 90.00 and 120.00 degrees. The asymmetric unit holds Pu at (0.0000, 0.3362, 0.0000), Bi at (0.0000, 0.0000, 0.5000) and Sb at (0.3333, 0.6667, 0.5000).

Its density is 13.42 g cm⁻³. The calculation puts the total magnetization at 37.81 μB per formula unit. The raw total energy is -11.06 eV/atom. As for the crystal system: hexagonal. The calculation puts the uncorrected formation energy at -0.15 eV per atom.

=====

N(E_F) values (in states/eV per cell) by entry order: 23.88, 29.27.